one.
The following is a DFT calculation (PBE-GGA) of a relaxed structure of AcLa2Y.

Summary:
D(E_F) in states/eV/atom: 2.64
M_tot in Bohr magnetons per cell: 4.4

Cell and atoms, written as CIF:
```
data_AcLa2Y
_cell_length_a 8.5045
_cell_length_b 8.5045
_cell_length_c 8.5045
_cell_angle_alpha 90.00
_cell_angle_beta 90.00
_cell_angle_gamma 90.00
_symmetry_space_group_name_H-M 'F m -3 m'
_symmetry_Int_Tables_number 225
_symmetry_space_group_name_Hall '-F 4 2 3'
loop_
_atom_site_label
_atom_site_fract_x
_atom_site_fract_y
_atom_site_fract_z
Ac1 0.0000 0.0000 0.0000
La1 0.2500 0.2500 0.2500
Y1 0.0000 0.0000 0.5000
```

***

two.
The following is a DFT calculation (PBE-GGA) of a relaxed structure of AcLa2Y.

Summary:
D(E_F) in states/eV/atom: 1.43
M_tot in Bohr magnetons per cell: 0.0

Cell and atoms, written as CIF:
```
data_AcLa2Y
_cell_length_a 7.4509
_cell_length_b 10.5883
_cell_length_c 3.7901
_cell_angle_alpha 90.00
_cell_angle_beta 90.00
_cell_angle_gamma 90.00
_symmetry_space_group_name_H-M 'C m m m'
_symmetry_Int_Tables_number 65
_symmetry_space_group_name_Hall '-C 2 2'
loop_
_atom_site_label
_atom_site_fract_x
_atom_site_fract_y
_atom_site_fract_z
Ac1 0.0000 0.0000 0.0000
La1 0.2500 0.2500 0.5000
Y1 0.0000 0.5000 0.0000
```

***

According to the calculations, the structures order from most to least stable as two, one.

***

one.
The following is a DFT calculation (PBE-GGA) of a relaxed structure of AcLa4Y.

Summary:
D(E_F) in states/eV/atom: 1.85
M_tot in Bohr magnetons per cell: 0.0

Cell and atoms, written as CIF:
```
data_AcLa4Y
_cell_length_a 6.4733
_cell_length_b 7.5089
_cell_length_c 9.2110
_cell_angle_alpha 90.00
_cell_angle_beta 90.38
_cell_angle_gamma 90.00
_symmetry_space_group_name_H-M 'P 1 21/m 1'
_symmetry_Int_Tables_number 11
loop_
_symmetry_equiv_pos_as_xyz
'x,y,z'
'-x,-y,-z'
'-x,y+1/2,-z'
'x,-y+1/2,z'
loop_
_atom_site_label
_atom_site_fract_x
_atom_site_fract_y
_atom_site_fract_z
Ac1 0.1670 0.2500 0.3317
La1 0.1692 0.7500 0.3299
La2 0.3321 0.0024 0.6708
La3 0.4978 0.7500 0.0014
Y1 0.0000 0.0000 0.0000
```

***

two.
The following is a DFT calculation (PBE-GGA) of a relaxed structure of AcLa4Y.

Summary:
D(E_F) in states/eV/atom: 1.57
M_tot in Bohr magnetons per cell: 0.0

Cell and atoms, written as CIF:
```
data_AcLa4Y
_cell_length_a 3.6765
_cell_length_b 5.6786
_cell_length_c 10.9013
_cell_angle_alpha 90.00
_cell_angle_beta 99.63
_cell_angle_gamma 90.00
_symmetry_space_group_name_H-M 'P 1 m 1'
_symmetry_Int_Tables_number 6
loop_
_symmetry_equiv_pos_as_xyz
'x,y,z'
'x,-y,z'
loop_
_atom_site_label
_atom_site_fract_x
_atom_site_fract_y
_atom_site_fract_z
Ac1 0.0000 0.0000 0.0000
La1 0.1700 0.0000 0.3382
La2 0.4117 0.5000 0.8258
La3 0.5950 0.5000 0.1897
La4 0.8237 0.0000 0.6522
Y1 0.2481 0.5000 0.5018
```

***

According to the calculations, the structures order from most to least stable as one, two.

***

one.
The following is a DFT calculation (PBE-GGA) of a relaxed structure of Ac2La3Y4.

Summary:
D(E_F) in states/eV/atom: 1.77
M_tot in Bohr magnetons per cell: 0.0

Cell and atoms, written as CIF:
```
data_Ac2La3Y4
_cell_length_a 3.7351
_cell_length_b 3.7351
_cell_length_c 27.5725
_cell_angle_alpha 90.00
_cell_angle_beta 90.00
_cell_angle_gamma 120.00
_symmetry_space_group_name_H-M 'P 3 m 1'
_symmetry_Int_Tables_number 156
loop_
_symmetry_equiv_pos_as_xyz
'x,y,z'
'-y,x-y,z'
'-x+y,-x,z'
'-y,-x,z'
'-x+y,y,z'
'x,x-y,z'
loop_
_atom_site_label
_atom_site_fract_x
_atom_site_fract_y
_atom_site_fract_z
Ac1 0.0000 0.0000 0.0000
Ac2 0.0000 0.0000 0.2335
La1 0.0000 0.0000 0.7833
La2 0.3333 0.6667 0.1197
La3 0.3333 0.6667 0.4655
Y1 0.0000 0.0000 0.3611
Y2 0.0000 0.0000 0.5754
Y3 0.3333 0.6667 0.6752
Y4 0.3333 0.6667 0.8902
```

***

two.
The following is a DFT calculation (PBE-GGA) of a relaxed structure of Ac2La3Y4.

Summary:
D(E_F) in states/eV/atom: 1.84
M_tot in Bohr magnetons per cell: 0.0

Cell and atoms, written as CIF:
```
data_Ac2La3Y4
_cell_length_a 3.5985
_cell_length_b 10.1703
_cell_length_c 18.2146
_cell_angle_alpha 90.00
_cell_angle_beta 90.00
_cell_angle_gamma 90.00
_symmetry_space_group_name_H-M 'I m m m'
_symmetry_Int_Tables_number 71
_symmetry_space_group_name_Hall '-I 2 2'
loop_
_atom_site_label
_atom_site_fract_x
_atom_site_fract_y
_atom_site_fract_z
Ac1 0.0000 0.1754 0.0000
La1 0.0000 0.0000 0.5000
La2 0.0000 0.5000 0.3377
Y1 0.0000 0.3260 0.1712
```

***

According to the calculations, the structures order from most to least stable as one, two.

***

one.
The following is a DFT calculation (PBE-GGA) of a relaxed structure of AcLa3Y6.

Summary:
D(E_F) in states/eV/atom: 2.21
M_tot in Bohr magnetons per cell: 0.0

Cell and atoms, written as CIF:
```
data_AcLa3Y6
_cell_length_a 10.0738
_cell_length_b 10.0738
_cell_length_c 12.0155
_cell_angle_alpha 90.00
_cell_angle_beta 90.00
_cell_angle_gamma 120.00
_symmetry_space_group_name_H-M 'R 3'
_symmetry_Int_Tables_number 146
_symmetry_space_group_name_Hall 'R 3'
loop_
_atom_site_label
_atom_site_fract_x
_atom_site_fract_y
_atom_site_fract_z
Ac1 0.0000 0.0000 0.0000
La1 0.0000 0.0000 0.2706
La2 0.0000 0.0000 0.5023
La3 0.0000 0.0000 0.7354
Y1 0.0015 0.3342 0.3380
Y2 0.0067 0.6680 0.1691
```

***

two.
The following is a DFT calculation (PBE-GGA) of a relaxed structure of AcLa3Y6.

Summary:
D(E_F) in states/eV/atom: 1.36
M_tot in Bohr magnetons per cell: 0.0

Cell and atoms, written as CIF:
```
data_AcLa3Y6
_cell_length_a 9.7418
_cell_length_b 15.8819
_cell_length_c 9.1178
_cell_angle_alpha 90.00
_cell_angle_beta 90.00
_cell_angle_gamma 90.00
_symmetry_space_group_name_H-M 'C m c 21'
_symmetry_Int_Tables_number 36
loop_
_symmetry_equiv_pos_as_xyz
'x,y,z'
'-x,-y,z+1/2'
'-x,y,z'
'x,-y,z+1/2'
'x+1/2,y+1/2,z'
'-x+1/2,-y+1/2,z+1/2'
'-x+1/2,y+1/2,z'
'x+1/2,-y+1/2,z+1/2'
loop_
_atom_site_label
_atom_site_fract_x
_atom_site_fract_y
_atom_site_fract_z
Ac1 0.0000 0.2241 0.0000
La1 0.0000 0.0485 0.2384
La2 0.2470 0.4395 0.4140
Y1 0.0000 0.2868 0.3734
Y2 0.0000 0.4497 0.1011
Y3 0.1744 0.3532 0.7451
Y4 0.1756 0.1481 0.5896
```

***

According to the calculations, the structures order from most to least stable as two, one.